A plane-wave DFT calculation with PBE was carried out for a relaxed BaPmSeO6 crystal.

Results
**Crystal system**: trigonal
**Calculated volume**: 154.4 Å³/cell
**Magnetic moment**: 1.1 μB/cell
**ΔE_f (raw)**: -170.6 kJ/mol of atoms
**SG**: P312 (149)

```
data_BaPmSeO6
_chemical_formula_sum 'Ba1 Pm1 Se1 O6'
_symmetry_space_group_name_H-M 'P 1'
_symmetry_Int_Tables_number 1
_cell_length_a 5.685
_cell_length_b 5.685
_cell_length_c 5.515
_cell_angle_alpha 90.00
_cell_angle_beta 90.00
_cell_angle_gamma 120.00
loop_
_symmetry_equiv_pos_as_xyz
'x,y,z'
loop_
_atom_site_label
_atom_site_fract_x
_atom_site_fract_y
_atom_site_fract_z
Ba1 0.000 0.000 0.000
Pm1 0.333 0.667 0.500
Se1 0.667 0.333 0.500
O1 0.409 0.067 0.691
O2 0.409 0.342 0.309
O3 0.658 0.067 0.309
O4 0.658 0.591 0.691
O5 0.933 0.342 0.691
O6 0.933 0.591 0.309
```